Record 1
A plane-wave DFT calculation with PBE was carried out for a relaxed structure of K2CrOs.

Properties
Crystal system ... monoclinic
Relative energy among the computed polymorphs ... 632 meV per atom
Formation energy ... 1.396 eV/atom
SG ... P2/m
Theoretical density ... 6264 kg/m³
Total moment ... 3.52 Bohr magnetons per cell

Lattice parameters (Å, degrees): 5.8457 2.8804 5.0616 85.31 90.00 90.00
Each line ends with the local moment (μB).
Positions (direct):
K 0.0000 0.5095 0.4982  0.01
K 0.0000 0.9905 0.0018  0.01
Cr 0.5000 0.7500 0.7500  3.38
Os 0.5000 0.2500 0.2500  -0.39

***

Record 2
A plane-wave DFT calculation with PBE was carried out for a relaxed structure of KCr2Os.

Properties
Crystal system ... tetragonal
Relative energy among the computed polymorphs ... 0 meV per atom
Formation energy ... 0.776 eV/atom
SG ... P4/mmm
Theoretical density ... 6891 kg/m³
Total moment ... 6.45 Bohr magnetons per cell

Lattice parameters (Å, degrees): 2.9979 2.9979 8.9364 90.00 90.00 90.00
Each line ends with the local moment (μB).
Positions (direct):
Os 0.5000 0.5000 0.7500  -0.45
Cr 0.0000 0.0000 0.9199  2.96
Cr 0.0000 0.0000 0.5801  2.96
K 0.5000 0.5000 0.2500  0.05

***

Record 3
A plane-wave DFT calculation with PBE was carried out for a relaxed structure of K2CrOs.

Properties
Crystal system ... orthorhombic
Relative energy among the computed polymorphs ... 713 meV per atom
Formation energy ... 1.477 eV/atom
SG ... Cmmm
Theoretical density ... 6032 kg/m³
Total moment ... 4.14 Bohr magnetons per cell

Lattice parameters (Å, degrees): 2.8904 2.8904 11.9226 90.00 90.00 62.31
Each line ends with the local moment (μB).
Positions (direct):
K 0.0000 0.0000 0.4843  -0.01
K 0.0000 0.0000 0.0157  -0.01
Cr 0.5000 0.5000 0.7500  3.60
Os 0.5000 0.5000 0.2500  0.10

***

Record 4
A plane-wave DFT calculation with PBE was carried out for a relaxed structure of K2CrOs.

Properties
Crystal system ... orthorhombic
Relative energy among the computed polymorphs ... 275 meV per atom
Formation energy ... 1.040 eV/atom
SG ... Imm2
Theoretical density ... 4378 kg/m³
Total moment ... 1.94 Bohr magnetons per cell

Lattice parameters (Å, degrees): 6.6642 6.6642 6.6642 148.62 127.22 62.71
Each line ends with the local moment (μB).
Positions (direct):
K 0.0181 0.0181 0.0000  0.00
K 0.7254 0.2254 0.5000  0.01
Os 0.4368 0.4368 0.0000  -0.56
Cr 0.3197 0.8197 0.5000  2.16